No. 1
Compound: Sr2ScTc
Source: Alexandria via LeMat-Bulk
Functional: PBE
Structure: optimized geometry

Summary:
The calculation puts the theoretical density at 4.0 g/cm3. As for the crystal system: orthorhombic. Its excess energy over the best structure of this formula in the dataset is 100 meV per atom. The size of the total moment comes out at 0.00 μB per atom. Its formation energy from the elements is 0.361 eV/atom.

a b c (Å): 3.429 4.203 18.331
angles (deg): 90.00 90.00 90.00
Space group Immm (No. 71)
Symmetry-distinct sites (fractional):
Sr  0.000  0.000  0.154 x4
Sc  0.000  0.500  0.000 x2
Tc  0.000  0.500  0.500 x2



No. 2
Compound: LiTa2Si
Source: Alexandria via LeMat-Bulk
Functional: PBE
Structure: optimized geometry

Summary:
The calculation puts the theoretical density at 9.7 g/cm3. The energy relative to the elements, uncorrected comes out at 3.91 kcal/mol of atoms. As for the crystal system: trigonal. The size of the total moment comes out at 0.00 μB per atom.

a b c (Å): 2.8534 2.8534 28.8889
angles (deg): 90.00 90.00 120.00
Space group R-3m (No. 166, hexagonal axes)
Symmetry-distinct sites (fractional):
Li  0.0000  0.0000  0.0000 x3
Ta  0.0000  0.0000  0.2430 x6
Si  0.0000  0.0000  0.5000 x3



No. 3
Compound: CaEr2Rh
Source: Alexandria via LeMat-Bulk
Functional: PBE
Structure: optimized geometry

Summary:
The calculation puts the theoretical density at 6.3 g/cm3. As for the crystal system: trigonal. Its excess energy over the best structure of this formula in the dataset is 16 meV per atom. The size of the total moment comes out at 0.00 μB per atom. Its formation energy from the elements is -0.407 eV/atom.

a b c (Å): 4.0114 4.0114 26.9608
angles (deg): 90.00 90.00 120.00
Space group R3m (No. 160, hexagonal axes)
Symmetry-distinct sites (fractional):
Ca  0.0000  0.0000  0.0000 x3
Er  0.0000  0.0000  0.2220 x3
Er  0.0000  0.0000  0.4487 x3
Rh  0.0000  0.0000  0.8354 x3



No. 4
Compound: CaP2I
Source: Alexandria via LeMat-Bulk
Functional: PBE
Structure: optimized geometry

Summary:
The calculation puts the theoretical density at 2.9 g/cm3. The energy relative to the elements, uncorrected comes out at 7.54 kcal/mol of atoms. As for the crystal system: tetragonal. Its excess energy over the best structure of this formula in the dataset is 0 meV per atom. The size of the total moment comes out at 0.00 μB per atom.

a b c (Å): 5.935 5.935 14.945
angles (deg): 90.00 90.00 90.00
Space group I-42d (No. 122)
Symmetry-distinct sites (fractional):
Ca  0.000  0.000  0.000 x4
P  0.224  0.250  0.625 x8
I  0.000  0.000  0.500 x4



No. 5
Compound: Tl2CdPt
Source: Alexandria via LeMat-Bulk
Functional: PBE
Structure: optimized geometry

Summary:
The calculation puts the theoretical density at 12.7 g/cm3. As for the crystal system: monoclinic. Its excess energy over the best structure of this formula in the dataset is 260 meV per atom. The size of the total moment comes out at 0.00 μB per atom. Its formation energy from the elements is 0.183 eV/atom.

a b c (Å): 6.162 9.151 3.499
angles (deg): 90.00 108.83 90.00
Space group C2/m (No. 12)
Symmetry-distinct sites (fractional):
Tl  0.250  0.250  0.000 x4
Cd  0.000  0.000  0.500 x2
Pt  0.000  0.500  0.500 x2



No. 6
Compound: InMoW4
Source: Alexandria via LeMat-Bulk
Functional: PBE
Structure: optimized geometry

Summary:
The calculation puts the theoretical density at 14.9 g/cm3. As for the crystal system: cubic. The size of the total moment comes out at 0.00 μB per atom. Its formation energy from the elements is 0.433 eV/atom.

a b c (Å): 7.502 7.502 7.502
angles (deg): 90.00 90.00 90.00
Space group F-43m (No. 216)
Symmetry-distinct sites (fractional):
In  0.000  0.000  0.000 x4
Mo  0.250  0.250  0.250 x4
W  0.125  0.125  0.625 x16



No. 7
Compound: PdPtIO2
Source: Alexandria via LeMat-Bulk
Functional: PBE
Structure: optimized geometry

Summary:
The calculation puts the theoretical density at 6.1 g/cm3. The energy relative to the elements, uncorrected comes out at 0.54 kcal/mol of atoms. As for the crystal system: tetragonal. Its excess energy over the best structure of this formula in the dataset is 0 meV per atom. The size of the total moment comes out at 0.00 μB per atom.

a b c (Å): 3.795 3.795 8.645
angles (deg): 90.00 90.00 90.00
Space group P4/mmm (No. 123)
Symmetry-distinct sites (fractional):
Pd  0.000  0.000  0.000 x1
Pt  0.500  0.500  0.500 x1
I  0.500  0.500  0.000 x1
O  0.000  0.500  0.500 x2



No. 8
Compound: BaScZnPt2
Source: Alexandria via LeMat-Bulk
Functional: PBE
Structure: optimized geometry

Summary:
The calculation puts the theoretical density at 9.3 g/cm3. As for the crystal system: tetragonal. The size of the total moment comes out at 0.00 μB per atom. Its formation energy from the elements is -0.836 eV/atom.

a b c (Å): 4.351 4.351 12.066
angles (deg): 90.00 90.00 90.00
Space group I-4m2 (No. 119)
Symmetry-distinct sites (fractional):
Ba  0.000  0.000  0.000 x2
Sc  0.000  0.500  0.250 x2
Zn  0.000  0.500  0.750 x2
Pt  0.000  0.000  0.383 x4



No. 9
Compound: CsRb2BaCl
Source: Alexandria via LeMat-Bulk
Functional: PBE
Structure: optimized geometry

Summary:
The calculation puts the theoretical density at 2.4 g/cm3. The energy relative to the elements, uncorrected comes out at -13.41 kcal/mol of atoms. As for the crystal system: tetragonal. Its excess energy over the best structure of this formula in the dataset is 47 meV per atom. The size of the total moment comes out at 0.27 μB per atom.

a b c (Å): 6.834 6.834 7.095
angles (deg): 90.00 90.00 90.00
Space group P4/mmm (No. 123)
Symmetry-distinct sites (fractional):
Cs  0.000  0.000  0.000 x1
Rb  0.000  0.500  0.500 x2
Ba  0.500  0.500  0.000 x1
Cl  0.000  0.000  0.500 x1



No. 10
Compound: CsRh
Source: Alexandria via LeMat-Bulk
Functional: PBE
Structure: optimized geometry

Summary:
The calculation puts the theoretical density at 5.8 g/cm3. As for the crystal system: hexagonal. The size of the total moment comes out at 0.00 μB per atom. Its formation energy from the elements is 1.466 eV/atom.

a b c (Å): 4.6493 4.6493 7.1797
angles (deg): 90.00 90.00 120.00
Space group P6_3mc (No. 186)
Symmetry-distinct sites (fractional):
Cs  0.3333  0.6667  0.0000 x2
Rh  0.3333  0.6667  0.5515 x2



No. 11
Compound: Tb7Nd2Y2
Source: Alexandria via LeMat-Bulk
Functional: PBE
Structure: optimized geometry

Summary:
The calculation puts the theoretical density at 7.2 g/cm3. As for the crystal system: monoclinic. Its excess energy over the best structure of this formula in the dataset is 33 meV per atom. The size of the total moment comes out at 0.00 μB per atom. Its formation energy from the elements is 0.150 eV/atom.

a b c (Å): 11.417 11.478 6.082
angles (deg): 90.00 113.36 90.00
Space group C2/m (No. 12)
Symmetry-distinct sites (fractional):
Tb  0.000  0.000  0.000 x2
Tb  0.086  0.500  0.803 x4
Tb  0.175  0.234  0.174 x8
Nd  0.233  0.000  0.592 x4
Y  0.000  0.217  0.500 x4



No. 12
Compound: BaCa2CdAg
Source: Alexandria via LeMat-Bulk
Functional: PBE
Structure: optimized geometry

Summary:
The calculation puts the theoretical density at 4.0 g/cm3. As for the crystal system: tetragonal. The size of the total moment comes out at 0.00 μB per atom. Its formation energy from the elements is -0.086 eV/atom.

a b c (Å): 5.780 5.780 5.508
angles (deg): 90.00 90.00 90.00
Space group P4/mmm (No. 123)
Symmetry-distinct sites (fractional):
Ba  0.000  0.000  0.000 x1
Ca  0.000  0.500  0.500 x2
Cd  0.500  0.500  0.000 x1
Ag  0.500  0.500  0.500 x1



No. 13
Compound: BaPr2Ho
Source: Alexandria via LeMat-Bulk
Functional: PBE
Structure: optimized geometry

Summary:
The calculation puts the theoretical density at 6.2 g/cm3. As for the crystal system: trigonal. Its excess energy over the best structure of this formula in the dataset is 83 meV per atom. The size of the total moment comes out at 0.00 μB per atom. Its formation energy from the elements is 0.189 eV/atom.

a b c (Å): 3.6956 3.6956 39.5655
angles (deg): 90.00 90.00 120.00
Space group R-3m (No. 166, hexagonal axes)
Symmetry-distinct sites (fractional):
Ba  0.0000  0.0000  0.0000 x3
Pr  0.0000  0.0000  0.0939 x6
Ho  0.0000  0.0000  0.5000 x3



No. 14
Compound: ScSbTe2Br
Source: Alexandria via LeMat-Bulk
Functional: PBE
Structure: optimized geometry

Summary:
The calculation puts the theoretical density at 5.0 g/cm3. The energy relative to the elements, uncorrected comes out at -2.45 kcal/mol of atoms. As for the crystal system: tetragonal. Its excess energy over the best structure of this formula in the dataset is 0 meV per atom. The size of the total moment comes out at 0.00 μB per atom.

a b c (Å): 5.433 5.433 5.690
angles (deg): 90.00 90.00 90.00
Space group P4/mmm (No. 123)
Symmetry-distinct sites (fractional):
Sc  0.000  0.000  0.000 x1
Sb  0.000  0.000  0.500 x1
Te  0.000  0.500  0.000 x2
Br  0.500  0.500  0.500 x1



No. 15
Compound: SrBi3Os
Source: Alexandria via LeMat-Bulk
Functional: PBE
Structure: optimized geometry

Summary:
The calculation puts the theoretical density at 7.1 g/cm3. As for the crystal system: cubic. Its excess energy over the best structure of this formula in the dataset is 1636 meV per atom. The size of the total moment comes out at 0.77 μB per atom. Its formation energy from the elements is 1.969 eV/atom.

a b c (Å): 5.972 5.972 5.972
angles (deg): 90.00 90.00 90.00
Space group Pm-3m (No. 221)
Symmetry-distinct sites (fractional):
Sr  0.000  0.000  0.000 x1
Bi  0.000  0.000  0.500 x3
Os  0.500  0.500  0.500 x1



No. 16
Compound: Pr6NdHo2Er3
Source: Alexandria via LeMat-Bulk
Functional: PBE
Structure: optimized geometry

Summary:
The calculation puts the theoretical density at 7.5 g/cm3. As for the crystal system: monoclinic. The size of the total moment comes out at 0.00 μB per atom. Its formation energy from the elements is 0.014 eV/atom.

a b c (Å): 6.306 10.922 11.896
angles (deg): 90.00 100.15 90.00
Space group C2/m (No. 12)
Symmetry-distinct sites (fractional):
Pr  0.249  0.167  0.248 x8
Pr  0.250  0.000  0.752 x4
Nd  0.000  0.500  0.500 x2
Ho  0.000  0.167  0.500 x4
Er  0.000  0.000  0.000 x2
Er  0.000  0.333  0.000 x4



No. 17
Compound: CaHoAu4
Source: Alexandria via LeMat-Bulk
Functional: PBE
Structure: optimized geometry

Summary:
The calculation puts the theoretical density at 12.8 g/cm3. As for the crystal system: cubic. Its excess energy over the best structure of this formula in the dataset is 29 meV per atom. The size of the total moment comes out at 0.00 μB per atom. Its formation energy from the elements is -0.541 eV/atom.

a b c (Å): 8.018 8.018 8.018
angles (deg): 90.00 90.00 90.00
Space group F-43m (No. 216)
Symmetry-distinct sites (fractional):
Ca  0.000  0.000  0.000 x4
Ho  0.250  0.250  0.250 x4
Au  0.125  0.125  0.625 x16